Entry 1:
Entry from Alexandria: Cr2CdRu at its PBEsol-relaxed geometry (meta-GGA SCAN).

Structure (extended XYZ):
```
4
Lattice="3.761 0.000 0.000 0.000 3.761 0.000 0.000 0.000 3.830" Properties=species:S:1:pos:R:3 pbc="T T T"
Cd 0.000 0.000 1.915
Cr 0.000 1.881 0.000
Cr 1.881 0.000 0.000
Ru 1.881 1.881 1.915
```

The value obtained for the formation energy is 0.59 eV per atom. The space-group type is P4/mmm. The total energy is -24.914 eV/atom.

***

Entry 2:
Entry from Alexandria: ZnHgS3 at its PBEsol-relaxed geometry (meta-GGA SCAN).

Structure (extended XYZ):
```
5
Lattice="-4.743 -1.201 0.166 0.511 -2.586 -4.125 1.099 -3.979 2.631" Properties=species:S:1:pos:R:3 pbc="T T T"
S 0.255 -1.293 -2.063
S 0.550 -1.990 1.315
S -2.371 -0.600 0.083
Zn -1.566 -3.883 -0.664
Hg 0.000 0.000 0.000
```

The space-group type is Pm-3m. The total energy is -21.153 eV/atom.

***

Entry 3:
Entry from Alexandria: SrSc2Pd at its PBEsol-relaxed geometry (meta-GGA SCAN).

Structure (extended XYZ):
```
4
Lattice="4.979 0.000 0.000 2.489 4.312 0.000 2.489 1.437 4.065" Properties=species:S:1:pos:R:3 pbc="T T T"
Sc 2.489 1.437 1.016
Sc 7.468 4.312 3.049
Sr 0.000 0.000 0.000
Pd 4.979 2.874 2.033
```

The value obtained for the formation energy is -0.01 eV per atom. The space-group type is Fm-3m. The total energy is -20.891 eV/atom.

***

Entry 4:
Entry from Alexandria: NbTe2SI at its PBEsol-relaxed geometry (meta-GGA SCAN).

Structure (extended XYZ):
```
5
Lattice="-0.084 5.081 0.943 -4.230 -0.610 2.906 2.949 -0.720 4.141" Properties=species:S:1:pos:R:3 pbc="T T T"
I 1.474 -0.360 2.071
Nb -0.683 1.876 3.995
Te -2.115 -0.305 1.453
Te -0.042 2.541 0.472
S 0.000 0.000 0.000
```

The space-group type is P4/mmm. The total energy is -29.938 eV/atom.

***

no.,V (Å³/atom),ρ (g cm⁻³)
1,13.5,9.73
2,23.5,5.13
3,21.8,5.40
4,27.4,6.14